Below is an optimized crystal structure of Rb2ZrMo3O12, with properties calculated at the PBE+U level.

Its crystal system is trigonal. The volume is 16.35 A^3/atom. The calculation puts the density at 4.2 g/cm³. The relative energy among the computed polymorphs is 54 meV per atom.

Lattice parameters (Å, degrees): 7.5122 7.5122 7.5122 59.20 59.20 59.20
With the nearest neighbours (Å) after each atom.
Positions (direct):
Rb 0.1311 0.1311 0.1311  6 O 3.20-3.43
Rb 0.8689 0.8689 0.8689  6 O 3.20-3.43
Zr 0.5000 0.5000 0.5000  6 O 2.11
Mo 0.0000 0.5000 0.5000  6 O 1.90-1.95
Mo 0.5000 0.0000 0.5000  6 O 1.90-1.95
Mo 0.5000 0.5000 0.0000  6 O 1.90-1.95
O 0.1677 0.5664 0.5664  1 Mo 1.90, 1 Zr 2.11
O 0.1934 0.1934 0.5617  2 Mo 1.95
O 0.1934 0.5617 0.1934  2 Mo 1.95
O 0.4336 0.4336 0.8323  1 Mo 1.90, 1 Zr 2.11
O 0.4336 0.8323 0.4336  1 Mo 1.90, 1 Zr 2.11
O 0.4383 0.8066 0.8066  2 Mo 1.95
O 0.5617 0.1934 0.1934  2 Mo 1.95
O 0.5664 0.1677 0.5664  1 Mo 1.90, 1 Zr 2.11
O 0.5664 0.5664 0.1677  1 Mo 1.90, 1 Zr 2.11
O 0.8066 0.4383 0.8066  2 Mo 1.95
O 0.8066 0.8066 0.4383  2 Mo 1.95
O 0.8323 0.4336 0.4336  1 Mo 1.90, 1 Zr 2.11